Arrangement one

## Ta4Nb3Co6 (PBE)

Data for Ta4Nb3Co6 after structural relaxation.

Summary:
The value obtained for the calculated density is 12.11 g cm⁻³.

Structure (CIF):
```
data_Ta4Nb3Co6
_chemical_formula_sum 'Ta12 Nb9 Co18'
_symmetry_space_group_name_H-M 'R -3 m'
_symmetry_Int_Tables_number 166
_symmetry_space_group_name_Hall '-R 3 2"'
_cell_length_a 4.9527
_cell_length_b 4.9527
_cell_length_c 26.2499
_cell_angle_alpha 90.00
_cell_angle_beta 90.00
_cell_angle_gamma 120.00
loop_
_atom_site_label
_atom_site_type_symbol
_atom_site_fract_x
_atom_site_fract_y
_atom_site_fract_z
Ta1 Ta 0.0000 0.0000 0.0503
Ta2 Ta 0.0000 0.0000 0.3336
Nb1 Nb 0.0000 0.0000 0.1539
Nb2 Nb 0.0000 0.0000 0.5000
Co1 Co 0.0070 0.5035 0.9126
```

Arrangement two

## Ta4Nb3Co6 (PBE)

Data for Ta4Nb3Co6 after structural relaxation.

Summary:
The value obtained for the calculated density is 12.14 g cm⁻³.

Structure (CIF):
```
data_Ta4Nb3Co6
_chemical_formula_sum 'Ta12 Nb9 Co18'
_symmetry_space_group_name_H-M 'R -3 m'
_symmetry_Int_Tables_number 166
_symmetry_space_group_name_Hall '-R 3 2"'
_cell_length_a 4.9469
_cell_length_b 4.9469
_cell_length_c 26.2580
_cell_angle_alpha 90.00
_cell_angle_beta 90.00
_cell_angle_gamma 120.00
loop_
_atom_site_label
_atom_site_type_symbol
_atom_site_fract_x
_atom_site_fract_y
_atom_site_fract_z
Ta1 Ta 0.0000 0.0000 0.0503
Ta2 Ta 0.0000 0.0000 0.1540
Nb1 Nb 0.0000 0.0000 0.3338
Nb2 Nb 0.0000 0.0000 0.5000
Co1 Co 0.0078 0.5039 0.9114
```

The data favor arrangement one; the next most stable structure lies 21 meV/atom above it.

Arrangement one

## NbCoTe2 (PBE)

Data for NbCoTe2 after structural relaxation.

Summary:
The value obtained for the calculated density is 7.43 g cm⁻³.

Structure (CIF):
```
data_NbCoTe2
_chemical_formula_sum 'Nb4 Co4 Te8'
_symmetry_space_group_name_H-M 'P 1 21/c 1'
_symmetry_Int_Tables_number 14
_symmetry_space_group_name_Hall '-P 2ybc'
_cell_length_a 8.248
_cell_length_b 6.337
_cell_length_c 7.832
_cell_angle_alpha 90.00
_cell_angle_beta 117.21
_cell_angle_gamma 90.00
loop_
_atom_site_label
_atom_site_type_symbol
_atom_site_fract_x
_atom_site_fract_y
_atom_site_fract_z
Nb1 Nb 0.012 0.014 0.303
Co1 Co 0.115 0.645 0.560
Te1 Te 0.227 0.243 0.132
Te2 Te 0.320 0.749 0.409
```

Arrangement two

## NbCoTe2 (PBE)

Data for NbCoTe2 after structural relaxation.

Summary:
The value obtained for the calculated density is 8.40 g cm⁻³.

Structure (CIF):
```
data_NbCoTe2
_chemical_formula_sum 'Nb4 Co4 Te8'
_symmetry_space_group_name_H-M 'F -4 3 m'
_symmetry_Int_Tables_number 216
_symmetry_space_group_name_Hall 'F -4 2 3'
_cell_length_a 6.853
_cell_length_b 6.853
_cell_length_c 6.853
_cell_angle_alpha 90.00
_cell_angle_beta 90.00
_cell_angle_gamma 90.00
loop_
_atom_site_label
_atom_site_type_symbol
_atom_site_fract_x
_atom_site_fract_y
_atom_site_fract_z
Nb1 Nb 0.000 0.000 0.000
Co1 Co 0.250 0.250 0.250
Te1 Te 0.000 0.000 0.500
Te2 Te 0.250 0.250 0.750
```

The data favor arrangement one; the next most stable structure lies 1087 meV/atom above it.

Arrangement one

## NbZn2Co (PBE)

Data for NbZn2Co after structural relaxation.

Summary:
The value obtained for the calculated density is 8.48 g cm⁻³.

Structure (CIF):
```
data_NbZn2Co
_chemical_formula_sum 'Nb4 Zn8 Co4'
_symmetry_space_group_name_H-M 'F -4 3 m'
_symmetry_Int_Tables_number 216
_symmetry_space_group_name_Hall 'F -4 2 3'
_cell_length_a 6.050
_cell_length_b 6.050
_cell_length_c 6.050
_cell_angle_alpha 90.00
_cell_angle_beta 90.00
_cell_angle_gamma 90.00
loop_
_atom_site_label
_atom_site_type_symbol
_atom_site_fract_x
_atom_site_fract_y
_atom_site_fract_z
Nb1 Nb 0.000 0.000 0.000
Zn1 Zn 0.000 0.000 0.500
Zn2 Zn 0.250 0.250 0.750
Co1 Co 0.250 0.250 0.250
```

Arrangement two

## NbZn2Co (PBE)

Data for NbZn2Co after structural relaxation.

Summary:
The value obtained for the calculated density is 8.42 g cm⁻³.

Structure (CIF):
```
data_NbZn2Co
_chemical_formula_sum 'Nb4 Zn8 Co4'
_symmetry_space_group_name_H-M 'F m -3 m'
_symmetry_Int_Tables_number 225
_symmetry_space_group_name_Hall '-F 4 2 3'
_cell_length_a 6.064
_cell_length_b 6.064
_cell_length_c 6.064
_cell_angle_alpha 90.00
_cell_angle_beta 90.00
_cell_angle_gamma 90.00
loop_
_atom_site_label
_atom_site_type_symbol
_atom_site_fract_x
_atom_site_fract_y
_atom_site_fract_z
Nb1 Nb 0.000 0.000 0.000
Zn1 Zn 0.250 0.250 0.250
Co1 Co 0.000 0.000 0.500
```

The data favor arrangement one; the next most stable structure lies 194 meV/atom above it.

Arrangement one

## PrNdCo (PBE)

Data for PrNdCo after structural relaxation.

Summary:
The value obtained for the calculated density is 7.41 g cm⁻³.

Structure (CIF):
```
data_PrNdCo
_chemical_formula_sum 'Pr4 Nd4 Co4'
_symmetry_space_group_name_H-M 'F -4 3 m'
_symmetry_Int_Tables_number 216
_symmetry_space_group_name_Hall 'F -4 2 3'
_cell_length_a 6.758
_cell_length_b 6.758
_cell_length_c 6.758
_cell_angle_alpha 90.00
_cell_angle_beta 90.00
_cell_angle_gamma 90.00
loop_
_atom_site_label
_atom_site_type_symbol
_atom_site_fract_x
_atom_site_fract_y
_atom_site_fract_z
Pr1 Pr 0.000 0.000 0.000
Nd1 Nd 0.250 0.250 0.250
Co1 Co 0.250 0.250 0.750
```

Arrangement two

## PrNdCo (PBE)

Data for PrNdCo after structural relaxation.

Summary:
The value obtained for the calculated density is 7.62 g cm⁻³.

Structure (CIF):
```
data_PrNdCo
_chemical_formula_sum 'Pr3 Nd3 Co3'
_symmetry_space_group_name_H-M 'P 3 m 1'
_symmetry_Int_Tables_number 156
_symmetry_space_group_name_Hall 'P 3 -2"'
_cell_length_a 4.5053
_cell_length_b 4.5053
_cell_length_c 12.8046
_cell_angle_alpha 90.00
_cell_angle_beta 90.00
_cell_angle_gamma 120.00
loop_
_atom_site_label
_atom_site_type_symbol
_atom_site_fract_x
_atom_site_fract_y
_atom_site_fract_z
Pr1 Pr 0.0000 0.0000 0.0000
Pr2 Pr 0.0000 0.0000 0.3317
Pr3 Pr 0.3333 0.6667 0.5108
Nd1 Nd 0.0000 0.0000 0.6642
Nd2 Nd 0.3333 0.6667 0.1776
Nd3 Nd 0.3333 0.6667 0.8396
Co1 Co 0.6667 0.3333 0.0944
Co2 Co 0.6667 0.3333 0.4215
Co3 Co 0.6667 0.3333 0.7488
```

The data favor arrangement two; the next most stable structure lies 616 meV/atom above it.

Arrangement one

## NdCoRe (PBE)

Data for NdCoRe after structural relaxation.

Summary:
The value obtained for the calculated density is 11.15 g cm⁻³.

Structure (CIF):
```
data_NdCoRe
_chemical_formula_sum 'Nd2 Co2 Re2'
_symmetry_space_group_name_H-M 'P 4/n m m'
_symmetry_Int_Tables_number 129
_cell_length_a 3.820
_cell_length_b 3.820
_cell_length_c 7.944
_cell_angle_alpha 90.00
_cell_angle_beta 90.00
_cell_angle_gamma 90.00
loop_
_symmetry_equiv_pos_as_xyz
'x,y,z'
'-x,-y,-z'
'-y+1/2,x,z'
'y+1/2,-x,-z'
'-x+1/2,-y+1/2,z'
'x+1/2,y+1/2,-z'
'y,-x+1/2,z'
'-y,x+1/2,-z'
'x+1/2,-y,-z'
'-x+1/2,y,z'
'-y,-x,-z'
'y,x,z'
'-x,y+1/2,-z'
'x,-y+1/2,z'
'y+1/2,x+1/2,-z'
'-y+1/2,-x+1/2,z'
loop_
_atom_site_label
_atom_site_type_symbol
_atom_site_fract_x
_atom_site_fract_y
_atom_site_fract_z
Nd1 Nd 0.250 0.250 0.164
Co1 Co 0.250 0.250 0.707
Re1 Re 0.250 0.750 0.500
```

Arrangement two

## NdCoRe (PBE)

Data for NdCoRe after structural relaxation.

Summary:
The value obtained for the calculated density is 10.64 g cm⁻³.

Structure (CIF):
```
data_NdCoRe
_chemical_formula_sum 'Nd4 Co4 Re4'
_symmetry_space_group_name_H-M 'F -4 3 m'
_symmetry_Int_Tables_number 216
_symmetry_space_group_name_Hall 'F -4 2 3'
_cell_length_a 6.240
_cell_length_b 6.240
_cell_length_c 6.240
_cell_angle_alpha 90.00
_cell_angle_beta 90.00
_cell_angle_gamma 90.00
loop_
_atom_site_label
_atom_site_type_symbol
_atom_site_fract_x
_atom_site_fract_y
_atom_site_fract_z
Nd1 Nd 0.000 0.000 0.000
Co1 Co 0.250 0.250 0.250
Re1 Re 0.000 0.000 0.500
```

The data favor arrangement one; the next most stable structure lies 698 meV/atom above it.

Arrangement one

## NdScCo (PBE)

Data for NdScCo after structural relaxation.

Summary:
The value obtained for the calculated density is 6.32 g cm⁻³.

Structure (CIF):
```
data_NdScCo
_chemical_formula_sum 'Nd4 Sc4 Co4'
_symmetry_space_group_name_H-M 'F -4 3 m'
_symmetry_Int_Tables_number 216
_symmetry_space_group_name_Hall 'F -4 2 3'
_cell_length_a 6.389
_cell_length_b 6.389
_cell_length_c 6.389
_cell_angle_alpha 90.00
_cell_angle_beta 90.00
_cell_angle_gamma 90.00
loop_
_atom_site_label
_atom_site_type_symbol
_atom_site_fract_x
_atom_site_fract_y
_atom_site_fract_z
Nd1 Nd 0.000 0.000 0.000
Sc1 Sc 0.250 0.250 0.750
Co1 Co 0.000 0.000 0.500
```

Arrangement two

## NdScCo (PBE)

Data for NdScCo after structural relaxation.

Summary:
The value obtained for the calculated density is 6.09 g cm⁻³.

Structure (CIF):
```
data_NdScCo
_chemical_formula_sum 'Nd4 Sc4 Co4'
_symmetry_space_group_name_H-M 'F -4 3 m'
_symmetry_Int_Tables_number 216
_symmetry_space_group_name_Hall 'F -4 2 3'
_cell_length_a 6.469
_cell_length_b 6.469
_cell_length_c 6.469
_cell_angle_alpha 90.00
_cell_angle_beta 90.00
_cell_angle_gamma 90.00
loop_
_atom_site_label
_atom_site_type_symbol
_atom_site_fract_x
_atom_site_fract_y
_atom_site_fract_z
Nd1 Nd 0.000 0.000 0.000
Sc1 Sc 0.250 0.250 0.250
Co1 Co 0.250 0.250 0.750
```

Arrangement three

## NdScCo (PBE)

Data for NdScCo after structural relaxation.

Summary:
The value obtained for the calculated density is 6.24 g cm⁻³.

Structure (CIF):
```
data_NdScCo
_chemical_formula_sum 'Nd3 Sc3 Co3'
_symmetry_space_group_name_H-M 'P -6 2 m'
_symmetry_Int_Tables_number 189
_symmetry_space_group_name_Hall 'P -6 -2'
_cell_length_a 7.7338
_cell_length_b 7.7338
_cell_length_c 3.8242
_cell_angle_alpha 90.00
_cell_angle_beta 90.00
_cell_angle_gamma 120.00
loop_
_atom_site_label
_atom_site_type_symbol
_atom_site_fract_x
_atom_site_fract_y
_atom_site_fract_z
Nd1 Nd 0.0000 0.6661 0.0000
Sc1 Sc 0.0000 0.0000 0.5000
Sc2 Sc 0.3333 0.6667 0.5000
Co1 Co 0.0000 0.3324 0.5000
```

The data favor arrangement three; the next most stable structure lies 512 meV/atom above it.

Arrangement one

## NdTlCoSe3 (PBE)

Data for NdTlCoSe3 after structural relaxation.

Summary:
The value obtained for the calculated density is 6.91 g cm⁻³.

Structure (CIF):
```
data_NdTlCoSe3
_chemical_formula_sum 'Nd4 Tl4 Co4 Se12'
_symmetry_space_group_name_H-M 'P n m a'
_symmetry_Int_Tables_number 62
_symmetry_space_group_name_Hall '-P 2ac 2n'
_cell_length_a 11.693
_cell_length_b 4.234
_cell_length_c 12.520
_cell_angle_alpha 90.00
_cell_angle_beta 90.00
_cell_angle_gamma 90.00
loop_
_atom_site_label
_atom_site_type_symbol
_atom_site_fract_x
_atom_site_fract_y
_atom_site_fract_z
Nd1 Nd 0.021 0.250 0.172
Tl1 Tl 0.169 0.250 0.505
Co1 Co 0.250 0.250 0.799
Se1 Se 0.050 0.750 0.335
Se2 Se 0.113 0.250 0.942
Se3 Se 0.219 0.750 0.709
```

Arrangement two

## NdTlCoSe3 (PBE)

Data for NdTlCoSe3 after structural relaxation.

Summary:
The value obtained for the calculated density is 6.29 g cm⁻³.

Structure (CIF):
```
data_NdTlCoSe3
_chemical_formula_sum 'Nd4 Tl4 Co4 Se12'
_symmetry_space_group_name_H-M 'C m c m'
_symmetry_Int_Tables_number 63
_symmetry_space_group_name_Hall '-C 2c 2'
_cell_length_a 4.146
_cell_length_b 14.695
_cell_length_c 11.174
_cell_angle_alpha 90.00
_cell_angle_beta 90.00
_cell_angle_gamma 90.00
loop_
_atom_site_label
_atom_site_type_symbol
_atom_site_fract_x
_atom_site_fract_y
_atom_site_fract_z
Nd1 Nd 0.000 0.000 0.000
Tl1 Tl 0.000 0.250 0.250
Co1 Co 0.000 0.470 0.750
Se1 Se 0.000 0.065 0.750
Se2 Se 0.000 0.371 0.580
```

The data favor arrangement two; the next most stable structure lies 9 meV/atom above it.

Arrangement one

## NdTlCoTe3 (PBE)

Data for NdTlCoTe3 after structural relaxation.

Summary:
The value obtained for the calculated density is 6.66 g cm⁻³.

Structure (CIF):
```
data_NdTlCoTe3
_chemical_formula_sum 'Nd4 Tl4 Co4 Te12'
_symmetry_space_group_name_H-M 'C m c m'
_symmetry_Int_Tables_number 63
_symmetry_space_group_name_Hall '-C 2c 2'
_cell_length_a 4.271
_cell_length_b 15.897
_cell_length_c 11.606
_cell_angle_alpha 90.00
_cell_angle_beta 90.00
_cell_angle_gamma 90.00
loop_
_atom_site_label
_atom_site_type_symbol
_atom_site_fract_x
_atom_site_fract_y
_atom_site_fract_z
Nd1 Nd 0.000 0.000 0.000
Tl1 Tl 0.000 0.246 0.250
Co1 Co 0.000 0.473 0.750
Te1 Te 0.000 0.072 0.750
Te2 Te 0.000 0.367 0.580
```

Arrangement two

## NdTlCoTe3 (PBE)

Data for NdTlCoTe3 after structural relaxation.

Summary:
The value obtained for the calculated density is 7.18 g cm⁻³.

Structure (CIF):
```
data_NdTlCoTe3
_chemical_formula_sum 'Nd4 Tl4 Co4 Te12'
_symmetry_space_group_name_H-M 'P n m a'
_symmetry_Int_Tables_number 62
_symmetry_space_group_name_Hall '-P 2ac 2n'
_cell_length_a 12.479
_cell_length_b 4.433
_cell_length_c 13.213
_cell_angle_alpha 90.00
_cell_angle_beta 90.00
_cell_angle_gamma 90.00
loop_
_atom_site_label
_atom_site_type_symbol
_atom_site_fract_x
_atom_site_fract_y
_atom_site_fract_z
Nd1 Nd 0.026 0.250 0.178
Tl1 Tl 0.180 0.250 0.495
Co1 Co 0.244 0.750 0.301
Te1 Te 0.044 0.750 0.347
Te2 Te 0.111 0.250 0.941
Te3 Te 0.217 0.750 0.709
```

The data favor arrangement one; the next most stable structure lies 10 meV/atom above it.

Arrangement one

## Co17Ni12 (PBE)

Data for Co17Ni12 after structural relaxation.

Summary:
The value obtained for the calculated density is 9.00 g cm⁻³.

Structure (CIF):
```
data_Co17Ni12
_chemical_formula_sum 'Co34 Ni24'
_symmetry_space_group_name_H-M 'I -4 3 m'
_symmetry_Int_Tables_number 217
_symmetry_space_group_name_Hall 'I -4 2 3'
_cell_length_a 8.572
_cell_length_b 8.572
_cell_length_c 8.572
_cell_angle_alpha 90.00
_cell_angle_beta 90.00
_cell_angle_gamma 90.00
loop_
_atom_site_label
_atom_site_type_symbol
_atom_site_fract_x
_atom_site_fract_y
_atom_site_fract_z
Co1 Co 0.000 0.000 0.000
Co2 Co 0.091 0.091 0.720
Co3 Co 0.175 0.175 0.175
Ni1 Ni 0.041 0.358 0.642
```

Arrangement two

## Co17Ni12 (PBE)

Data for Co17Ni12 after structural relaxation.

Summary:
The value obtained for the calculated density is 8.99 g cm⁻³.

Structure (CIF):
```
data_Co17Ni12
_chemical_formula_sum 'Co34 Ni24'
_symmetry_space_group_name_H-M 'I -4 3 m'
_symmetry_Int_Tables_number 217
_symmetry_space_group_name_Hall 'I -4 2 3'
_cell_length_a 8.575
_cell_length_b 8.575
_cell_length_c 8.575
_cell_angle_alpha 90.00
_cell_angle_beta 90.00
_cell_angle_gamma 90.00
loop_
_atom_site_label
_atom_site_type_symbol
_atom_site_fract_x
_atom_site_fract_y
_atom_site_fract_z
Co1 Co 0.000 0.000 0.000
Co2 Co 0.047 0.362 0.638
Co3 Co 0.182 0.182 0.182
Ni1 Ni 0.093 0.093 0.717
```

The data favor arrangement one; the next most stable structure lies 33 meV/atom above it.